# 1
The following is a DFT calculation (GGA-PBE) of an optimized crystal structure of BaU2Se5.

Values from the calculation:
The space group is Pnma, No. 62. The calculated total energy comes out at -204.940 eV per cell.

Cell: 13.2177 8.3011 7.8800 Å, 90.00 90.00 90.00°
Last column: nearest neighbours and their distance in Å.
Sites, in units of the cell vectors:
Ba 0.5058 0.7500 0.0879  7 Se 3.05-3.19
Ba 0.0058 0.7500 0.4121  7 Se 3.05-3.19
Ba 0.9942 0.2500 0.5879  7 Se 3.05-3.19
Ba 0.4942 0.2500 0.9121  7 Se 3.05-3.19
Se 0.0035 0.7500 0.0089  4 U 3.16-3.22, 1 Ba 3.18, 1 Se 3.53
Se 0.6283 0.0528 0.1656  2 U 2.79-2.84, 1 Ba 3.05
Se 0.6283 0.4472 0.1656  2 U 2.79-2.84, 1 Ba 3.05
Se 0.3142 0.2500 0.1819  4 U 3.06-3.24, 2 Se 3.19, 1 Ba 3.19
Se 0.2781 0.7500 0.2185  4 U 2.99-3.06, 1 Ba 3.18, 2 Se 3.33
Se 0.7781 0.7500 0.2815  4 U 2.99-3.06, 1 Ba 3.18, 2 Se 3.33
Se 0.8142 0.2500 0.3181  4 U 3.06-3.24, 2 Se 3.19, 1 Ba 3.19
Se 0.1283 0.0528 0.3344  2 U 2.79-2.84, 1 Ba 3.05
Se 0.1283 0.4472 0.3344  2 U 2.79-2.84, 1 Ba 3.05
Se 0.5035 0.7500 0.4911  4 U 3.16-3.22, 1 Ba 3.18, 1 Se 3.53
Se 0.4965 0.2500 0.5089  4 U 3.16-3.22, 1 Ba 3.18, 1 Se 3.53
Se 0.8717 0.5528 0.6656  2 U 2.79-2.84, 1 Ba 3.05
Se 0.8717 0.9472 0.6656  2 U 2.79-2.84, 1 Ba 3.05
Se 0.1858 0.7500 0.6819  4 U 3.06-3.24, 2 Se 3.19, 1 Ba 3.19
Se 0.2219 0.2500 0.7185  4 U 2.99-3.06, 1 Ba 3.18, 2 Se 3.33
Se 0.7219 0.2500 0.7815  4 U 2.99-3.06, 1 Ba 3.18, 2 Se 3.33
Se 0.6858 0.7500 0.8181  4 U 3.06-3.24, 2 Se 3.19, 1 Ba 3.19
Se 0.3717 0.5528 0.8344  2 U 2.79-2.84, 1 Ba 3.05
Se 0.3717 0.9472 0.8344  2 U 2.79-2.84, 1 Ba 3.05
Se 0.9965 0.2500 0.9911  4 U 3.16-3.22, 1 Ba 3.18, 1 Se 3.53
U 0.8166 0.5005 0.0027  5 Se 2.79-3.06
U 0.8166 0.9995 0.0027  5 Se 2.79-3.06
U 0.3166 0.5005 0.4973  5 Se 2.79-3.06
U 0.3166 0.9995 0.4973  5 Se 2.79-3.06
U 0.6834 0.0005 0.5027  5 Se 2.79-3.06
U 0.6834 0.4995 0.5027  5 Se 2.79-3.06
U 0.1834 0.0005 0.9973  5 Se 2.79-3.06
U 0.1834 0.4995 0.9973  5 Se 2.79-3.06


# 2
The following is a DFT calculation (GGA-PBE) of an optimized crystal structure of Ta5Co24.

Values from the calculation:
The space group is I-43m, No. 217. For the calculated formation energy, the calculation gives -0.061 eV per atom. The calculated total energy comes out at -231.575 eV per cell.

Cell: 7.5668 7.5668 7.5668 Å, 109.47 109.47 109.47°
Last column: nearest neighbours and their distance in Å.
Sites, in units of the cell vectors:
Co 0.3722 0.1894 0.0000  6 Co 2.26-2.53
Co 0.1894 0.3722 0.0000  6 Co 2.26-2.53
Co 0.6756 0.4031 0.0000  7 Co 2.33-2.57, 1 Ta 2.45
Co 0.4031 0.6756 0.0000  7 Co 2.33-2.57, 1 Ta 2.45
Co 0.8106 0.8106 0.1827  6 Co 2.26-2.53
Co 0.3722 0.0000 0.1894  6 Co 2.26-2.53
Co 0.0000 0.3722 0.1894  6 Co 2.26-2.53
Co 0.5969 0.5969 0.2726  7 Co 2.33-2.57, 1 Ta 2.45
Co 0.7274 0.3244 0.3244  7 Co 2.33-2.57, 1 Ta 2.45
Co 0.3244 0.7274 0.3244  7 Co 2.33-2.57, 1 Ta 2.45
Co 0.1894 0.0000 0.3722  6 Co 2.26-2.53
Co 0.0000 0.1894 0.3722  6 Co 2.26-2.53
Co 0.6756 0.0000 0.4031  7 Co 2.33-2.57, 1 Ta 2.45
Co 0.0000 0.6756 0.4031  7 Co 2.33-2.57, 1 Ta 2.45
Co 0.5969 0.2726 0.5969  7 Co 2.33-2.57, 1 Ta 2.45
Co 0.2726 0.5969 0.5969  7 Co 2.33-2.57, 1 Ta 2.45
Co 0.8173 0.6278 0.6278  6 Co 2.26-2.53
Co 0.6278 0.8173 0.6278  6 Co 2.26-2.53
Co 0.4031 0.0000 0.6756  7 Co 2.33-2.57, 1 Ta 2.45
Co 0.0000 0.4031 0.6756  7 Co 2.33-2.57, 1 Ta 2.45
Co 0.3244 0.3244 0.7274  7 Co 2.33-2.57, 1 Ta 2.45
Co 0.8106 0.1827 0.8106  6 Co 2.26-2.53
Co 0.1827 0.8106 0.8106  6 Co 2.26-2.53
Co 0.6278 0.6278 0.8173  6 Co 2.26-2.53
Ta 0.0000 0.0000 0.0000  12 Co 2.70, 4 Ta 2.89
Ta 0.6177 0.0000 0.0000  12 Co 2.45-2.73
Ta 0.0000 0.6177 0.0000  12 Co 2.45-2.73
Ta 0.3823 0.3823 0.3823  12 Co 2.45-2.73
Ta 0.0000 0.0000 0.6177  12 Co 2.45-2.73


Calculated total magnetization in order - 16.0, 29.3 Bohr magnetons per cell